# Dy8Er2Tc

A relaxed Dy8Er2Tc crystal (PBE, Alexandria).

The structure belongs to space group C2/m (No. 12); the cell edges are 18.5425, 5.4677 and 6.3879 Å and the angles 90.00°, 91.62° and 90.00°. The asymmetric unit holds Dy at (0.0398, 0.0000, 0.2429), Dy at (0.0748, 0.5000, 0.6311), Dy at (0.1493, 0.5000, 0.1354), Dy at (0.1577, 0.0000, 0.8225), Er at (0.2386, 0.0000, 0.3326) and Tc at (0.0000, 0.5000, 0.0000).

Its energy relative to the elements is 0.0215 eV per atom. The calculation puts the final energy at -0.3747 Ry per atom.